Material: Mg2IrRu
Method: DFT, PBE
State: optimized geometry

## Properties
- calculated formation energy (eV/atom) = -0.04
- raw total energy (eV/cell) = -21.48

Structure (CIF):
```
data_Mg2IrRu
_chemical_formula_sum 'Mg2 Ir1 Ru1'
_symmetry_space_group_name_H-M 'P 1 2/m 1'
_symmetry_Int_Tables_number 10
_cell_length_a 2.789
_cell_length_b 4.327
_cell_length_c 5.150
_cell_angle_alpha 90.00
_cell_angle_beta 96.10
_cell_angle_gamma 90.00
loop_
_symmetry_equiv_pos_as_xyz
'x,y,z'
'-x,-y,-z'
'-x,y,-z'
'x,-y,z'
loop_
_atom_site_label
_atom_site_type_symbol
_atom_site_fract_x
_atom_site_fract_y
_atom_site_fract_z
Mg1 Mg 0.247 0.000 0.250
Ir1 Ir 0.500 0.500 0.000
Ru1 Ru 0.000 0.500 0.500
```

Material: NdGa6Ag12
Method: DFT, PBE
State: optimized geometry

## Properties
- calculated formation energy (eV/atom) = 0.00
- raw total energy (eV/cell) = -171.56

Structure (CIF):
```
data_NdGa6Ag12
_chemical_formula_sum 'Nd3 Ga18 Ag36'
_symmetry_space_group_name_H-M 'R -3 m'
_symmetry_Int_Tables_number 166
_symmetry_space_group_name_Hall '-R 3 2"'
_cell_length_a 11.9078
_cell_length_b 11.9078
_cell_length_c 9.0397
_cell_angle_alpha 90.00
_cell_angle_beta 90.00
_cell_angle_gamma 120.00
loop_
_atom_site_label
_atom_site_type_symbol
_atom_site_fract_x
_atom_site_fract_y
_atom_site_fract_z
Nd1 Nd 0.0000 0.0000 0.0000
Ga1 Ga 0.0427 0.5213 0.2519
Ag1 Ag 0.0000 0.3830 0.5000
Ag2 Ag 0.0821 0.1642 0.3144
```

Material: Pm6Pr2Sm3Pb
Method: DFT, PBE
State: optimized geometry

## Properties
- calculated formation energy (eV/atom) = -0.07
- raw total energy (eV/cell) = -113.44

Structure (CIF):
```
data_Pm6Pr2Sm3Pb
_chemical_formula_sum 'Pm12 Pr4 Sm6 Pb2'
_symmetry_space_group_name_H-M 'C 1 2/m 1'
_symmetry_Int_Tables_number 12
_cell_length_a 6.250
_cell_length_b 10.844
_cell_length_c 12.038
_cell_angle_alpha 90.00
_cell_angle_beta 100.11
_cell_angle_gamma 90.00
loop_
_symmetry_equiv_pos_as_xyz
'x,y,z'
'-x,-y,-z'
'-x,y,-z'
'x,-y,z'
'x+1/2,y+1/2,z'
'-x+1/2,-y+1/2,-z'
'-x+1/2,y+1/2,-z'
'x+1/2,-y+1/2,z'
loop_
_atom_site_label
_atom_site_type_symbol
_atom_site_fract_x
_atom_site_fract_y
_atom_site_fract_z
Pm1 Pm 0.241 0.000 0.249
Pm2 Pm 0.245 0.162 0.749
Pr1 Pr 0.000 0.334 0.500
Sm1 Sm 0.000 0.169 0.000
Sm2 Sm 0.000 0.500 0.000
Pb1 Pb 0.000 0.000 0.500
```